VASP calculation (PBE) on an optimized crystal structure of Tb3HoMg2.

Cell lengths 3.694, 3.694, 12.690 Å; angles 90.00, 90.00, 90.00 degrees
Element x y z (fractional)
1 Tb 0.000 0.000 0.000
2 Tb 0.000 0.000 0.311
3 Tb 0.000 0.000 0.689
4 Ho 0.500 0.500 0.500
5 Mg 0.500 0.500 0.154
6 Mg 0.500 0.500 0.846

Output
- V: 173.2 Å³/f.u.
- E: -3.650 eV per atom
- Spin magnetization: 0.000 μB/atom



VASP calculation (PBE) on an optimized crystal structure of TbHo8Mg6.

Cell lengths 8.285, 8.285, 8.285 Å; angles 66.39, 66.39, 66.39 degrees
Element x y z (fractional)
1 Tb 0.000 0.000 0.000
2 Ho 0.117 0.783 0.451
3 Ho 0.217 0.549 0.883
4 Ho 0.334 0.334 0.334
5 Ho 0.451 0.117 0.783
6 Ho 0.549 0.883 0.217
7 Ho 0.666 0.666 0.666
8 Ho 0.783 0.451 0.117
9 Ho 0.883 0.217 0.549
10 Mg 0.048 0.382 0.715
11 Mg 0.285 0.952 0.618
12 Mg 0.382 0.715 0.048
13 Mg 0.618 0.285 0.952
14 Mg 0.715 0.048 0.382
15 Mg 0.952 0.618 0.285

Output
- V: 457.6 Å³/f.u.
- E: -3.187 eV per atom
- Spin magnetization: 0.000 μB/atom



VASP calculation (PBE) on an optimized crystal structure of Tb3Ho3Mg2.

Cell lengths 6.405, 6.405, 15.564 Å; angles 90.00, 90.00, 131.06 degrees
Element x y z (fractional)
1 Tb 0.033 0.967 0.750
2 Tb 0.145 0.855 0.031
3 Tb 0.145 0.855 0.469
4 Tb 0.855 0.145 0.531
5 Tb 0.855 0.145 0.969
6 Tb 0.967 0.033 0.250
7 Ho 0.247 0.753 0.250
8 Ho 0.452 0.548 0.101
9 Ho 0.452 0.548 0.399
10 Ho 0.548 0.452 0.601
11 Ho 0.548 0.452 0.899
12 Ho 0.753 0.247 0.750
13 Mg 0.284 0.716 0.647
14 Mg 0.284 0.716 0.853
15 Mg 0.716 0.284 0.147
16 Mg 0.716 0.284 0.353

Output
- V: 240.8 Å³/f.u.
- E: -3.772 eV per atom
- Spin magnetization: 0.000 μB/atom



VASP calculation (PBE) on an optimized crystal structure of Tb2HoMg8.

Cell lengths 8.486, 8.486, 8.486 Å; angles 143.73, 125.70, 67.06 degrees
Element x y z (fractional)
1 Tb 0.211 0.211 0.000
2 Tb 0.789 0.789 0.000
3 Ho 0.500 0.500 0.000
4 Mg 0.058 0.365 0.692
5 Mg 0.208 0.000 0.208
6 Mg 0.327 0.635 0.692
7 Mg 0.347 0.847 0.500
8 Mg 0.653 0.153 0.500
9 Mg 0.673 0.365 0.308
10 Mg 0.792 0.000 0.792
11 Mg 0.942 0.635 0.308

Output
- V: 289.4 Å³/f.u.
- E: -2.364 eV per atom
- Spin magnetization: 0.000 μB/atom